1.
A plane-wave DFT calculation with GGA-PBE was carried out for a relaxed Sr5Mg crystal.

## Properties
formation energy	8	meV per atom
excess energy over the best structure of this formula in the dataset	21.1	meV/atom

Cell: 7.615 7.615 9.569 Å, 108.32 108.32 34.19°
Fractional positions:
Sr 0.000 0.000 0.000
Sr 0.024 0.024 0.442
Sr 0.308 0.308 0.159
Sr 0.332 0.332 0.600
Sr 0.666 0.666 0.801
Mg 0.666 0.666 0.300

---

2.
A plane-wave DFT calculation with GGA-PBE was carried out for a relaxed AgRuPt2 crystal.

## Properties
formation energy	352	meV per atom
excess energy over the best structure of this formula in the dataset	324.0	meV/atom

Cell: 4.498 4.498 4.498 Å, 60.00 60.00 60.00°
Fractional positions:
Ag 0.000 0.000 0.000
Ru 0.500 0.500 0.500
Pt 0.250 0.250 0.250
Pt 0.750 0.750 0.750

---

3.
A plane-wave DFT calculation with GGA-PBE was carried out for a relaxed ZrHgSe2 crystal.

## Properties
energy relative to the elements, uncorrected	-0.6588	eV/atom
excess energy over the best structure of this formula in the dataset	332.6	meV/atom

Cell: 4.206 6.157 6.157 Å, 35.95 90.00 90.00°
Fractional positions:
Zr 0.000 0.000 0.000
Hg 0.500 0.180 0.180
Se 0.000 0.669 0.669
Se 0.500 0.416 0.416

---

4.
A plane-wave DFT calculation with GGA-PBE was carried out for a relaxed Ce3SmTl4S8 crystal.

## Properties
energy relative to the elements, uncorrected	-1.4158	eV/atom

Cell: 8.903 8.903 8.903 Å, 55.97 55.97 55.97°
Fractional positions:
Ce 0.000 0.500 0.500
Ce 0.500 0.000 0.500
Ce 0.500 0.500 0.000
Sm 0.000 0.000 0.000
Tl 0.000 0.000 0.500
Tl 0.000 0.500 0.000
Tl 0.500 0.000 0.000
Tl 0.500 0.500 0.500
S 0.233 0.233 0.735
S 0.233 0.735 0.233
S 0.265 0.767 0.767
S 0.266 0.266 0.266
S 0.734 0.734 0.734
S 0.735 0.233 0.233
S 0.767 0.265 0.767
S 0.767 0.767 0.265

---

Calculated size of the total moment in order - 0.00, 0.61, 0.00, 0.19 μB/atom